## Ba3ReN (PBE)

Data for a relaxed Ba3ReN crystal.

```
Ba3ReN
1.0
5.489 0.000 0.000
0.000 5.489 0.000
0.000 0.000 5.489
Ba Re N
3 1 1
Direct
0.000 0.000 0.500
0.000 0.500 0.000
0.500 0.000 0.000
0.500 0.500 0.500
0.000 0.000 0.000
```

Properties
Fermi-level density of states   1.465 states/eV per atom
Space-group type   Pm-3m
Formation energy from raw total energies   0.734 eV/atom
Magnetic moment   0.551 μB per atom